#one
# PBE B5C7, relaxed
# **N(E_F)**: 2.1 states/eV per cell
data_B5C7
_space_group_name_H-M_alt 'P 1'
_space_group_IT_number 1
_space_group_name_Hall 'P 1'
_cell_length_a 3.7586
_cell_length_b 3.8225
_cell_length_c 5.7393
_cell_angle_alpha 91.68
_cell_angle_beta 106.53
_cell_angle_gamma 91.12
loop_
_atom_site_label
_atom_site_type_symbol
_atom_site_fract_x
_atom_site_fract_y
_atom_site_fract_z
_atom_site_occupancy
B1 B 0.0000 0.0000 0.0000 1
B2 B 0.1225 0.4612 0.3032 1
B3 B 0.4383 0.4376 0.0011 1
B4 B 0.5657 0.7800 0.8128 1
B5 B 0.7899 0.4655 0.6345 1
C1 C 0.1077 0.2256 0.7973 1
C2 C 0.2575 0.9921 0.6297 1
C3 C 0.3068 0.7448 0.1470 1
C4 C 0.4462 0.2159 0.4779 1
C5 C 0.6191 0.9728 0.3160 1
C6 C 0.7630 0.1996 0.1463 1
C7 C 0.9385 0.7474 0.4774 1

=====

#two
# PBE B5C7, relaxed
# **N(E_F)**: 2.6 states/eV per cell
data_B5C7
_space_group_name_H-M_alt 'P m m 2'
_space_group_IT_number 25
_space_group_name_Hall 'P 2 -2'
_cell_length_a 2.4737
_cell_length_b 2.4953
_cell_length_c 12.6214
_cell_angle_alpha 90.00
_cell_angle_beta 90.00
_cell_angle_gamma 90.00
loop_
_atom_site_label
_atom_site_type_symbol
_atom_site_fract_x
_atom_site_fract_y
_atom_site_fract_z
_atom_site_occupancy
B1 B 0.0000 0.0000 0.0000 1
B2 B 0.0000 0.0000 0.3429 1
B3 B 0.0000 0.5000 0.4485 1
B4 B 0.5000 0.0000 0.2385 1
B5 B 0.5000 0.0000 0.6136 1
C1 C 0.0000 0.0000 0.7020 1
C2 C 0.0000 0.5000 0.0860 1
C3 C 0.0000 0.5000 0.7697 1
C4 C 0.5000 0.0000 0.9132 1
C5 C 0.5000 0.5000 0.1521 1
C6 C 0.5000 0.5000 0.5327 1
C7 C 0.5000 0.5000 0.8453 1

=====

Question: which arrangement is favored energetically? Ranking from most to least stable: #two, #one.